No. 1
# CaFeBr2O

A relaxed CaFeBr2O crystal (PBE with a Hubbard U, the Alexandria database).

Computed properties:
Total magnetization in μB/f.u.: 3.47
E_tot in eV/atom: -3.3091

abc: 4.713 6.916 4.713
angles: 90.00 90.00 90.00
Positions (direct):
O (0.500, 0.500, 0.500)
Ca (0.000, 0.500, 0.000)
Fe (0.000, 0.000, 0.000)
Br (0.000, 0.000, 0.500)
Br (0.500, 0.000, 0.000)



No. 2
# Ca3Fe2Br2O5

A relaxed Ca3Fe2Br2O5 crystal (PBE with a Hubbard U, the Alexandria database).

Computed properties:
Energy above the most stable polymorph in this dataset in meV per atom: 0
Total magnetization in μB/f.u.: 10.00
E_tot in eV/atom: -5.8855

abc: 5.537 5.556 13.550
angles: 90.00 78.21 90.00
Positions (direct):
Ca (0.516, 0.000, 0.000)
Ca (0.984, 0.500, 0.000)
Ca (0.134, 0.500, 0.729)
Ca (0.637, 0.000, 0.729)
Ca (0.366, 0.000, 0.271)
Ca (0.863, 0.500, 0.271)
Fe (0.417, 0.500, 0.141)
Fe (0.083, 0.000, 0.859)
Fe (0.942, 0.000, 0.141)
Fe (0.558, 0.500, 0.859)
Br (0.330, 0.500, 0.376)
Br (0.793, 0.000, 0.376)
Br (0.170, 0.000, 0.624)
Br (0.707, 0.500, 0.624)
O (0.411, 0.500, 0.000)
O (0.089, 0.000, 0.000)
O (0.679, 0.250, 0.141)
O (0.160, 0.750, 0.180)
O (0.821, 0.250, 0.859)
O (0.340, 0.750, 0.820)
O (0.160, 0.250, 0.180)
O (0.679, 0.750, 0.141)
O (0.340, 0.250, 0.820)
O (0.821, 0.750, 0.859)



No. 3
# Ca3Fe2Br2O5

A relaxed Ca3Fe2Br2O5 crystal (PBE with a Hubbard U, the Alexandria database).

Computed properties:
Energy above the most stable polymorph in this dataset in meV per atom: 8
Total magnetization in μB/f.u.: 10.00
E_tot in eV/atom: -5.8772

abc: 3.924 3.924 13.557
angles: 98.32 98.32 90.00
Positions (direct):
Ca (0.500, 0.500, 0.000)
Ca (0.635, 0.635, 0.270)
Ca (0.365, 0.365, 0.730)
Fe (0.927, 0.927, 0.855)
Fe (0.073, 0.073, 0.145)
Br (0.812, 0.812, 0.624)
Br (0.188, 0.188, 0.376)
O (0.000, 0.000, 0.000)
O (0.418, 0.918, 0.836)
O (0.582, 0.082, 0.164)
O (0.918, 0.418, 0.836)
O (0.082, 0.582, 0.164)